No. 1
VASP calculation (PBE) on crystalline TaAgMo2 at its relaxed geometry.

Calculated values
**Total magnetic moment**: 0.00 μB/f.u.
**E**: -0.64109 Ry per atom
**E_form**: 0.369 eV per atom

a b c (Å): 4.964 4.964 5.281
angles (deg): 85.12 85.12 31.31
Fractional coordinates of all 4 atoms:
Ta 0.504 0.504 0.496
Mo 0.751 0.751 0.758
Mo 0.994 0.994 0.994
Ag 0.251 0.251 0.252

=====

No. 2
VASP calculation (PBE) on crystalline CaY2AsOs at its relaxed geometry.

Calculated values
**Total magnetic moment**: 0.00 μB/f.u.
**E**: -0.45798 Ry per atom
**E_form**: -0.069 eV per atom

a b c (Å): 5.518 4.751 5.518
angles (deg): 90.00 90.00 90.00
Fractional coordinates of all 5 atoms:
Os 0.000 0.000 0.000
Y 0.500 0.000 0.000
Ca 0.500 0.500 0.500
As 0.000 0.500 0.000
Y 0.000 0.000 0.500

=====

No. 3
VASP calculation (PBE) on crystalline PrHo2Se at its relaxed geometry.

Calculated values
**ΔE_f (raw)**: -3.255 eV/f.u.
**Total magnetic moment**: 0.00 μB/f.u.
**E**: -0.37990 Ry per atom

a b c (Å): 3.765 3.765 9.895
angles (deg): 79.03 79.03 60.00
Fractional coordinates of all 4 atoms:
Ho 0.731 0.731 0.806
Pr 0.500 0.500 0.500
Se 0.000 0.000 0.000
Ho 0.269 0.269 0.194

=====

No. 4
VASP calculation (PBE) on crystalline HfMg2Fe at its relaxed geometry.

Calculated values
**Total magnetic moment**: 0.00 μB/f.u.
**E**: -0.35987 Ry per atom
**E_form**: 0.505 eV per atom

a b c (Å): 4.617 4.617 4.617
angles (deg): 60.00 60.00 60.00
Fractional coordinates of all 4 atoms:
Mg 0.250 0.250 0.250
Mg 0.750 0.750 0.750
Fe 0.000 0.000 0.000
Hf 0.500 0.500 0.500

=====

No. 5
VASP calculation (PBE) on crystalline LiAcGaSn at its relaxed geometry.

Calculated values
**Total magnetic moment**: 0.00 μB/f.u.
**E**: -0.26715 Ry per atom
**E_form**: -0.372 eV per atom

a b c (Å): 5.361 5.361 5.361
angles (deg): 60.00 60.00 60.00
Fractional coordinates of all 4 atoms:
Ac 0.000 0.000 0.000
Li 0.500 0.500 0.500
Sn 0.250 0.250 0.250
Ga 0.750 0.750 0.750

=====

No. 6
VASP calculation (PBE) on crystalline Li2CuAu at its relaxed geometry.

Calculated values
**Total magnetic moment**: 0.00 μB/f.u.
**E**: -0.21580 Ry per atom
**E_form**: -0.136 eV per atom

a b c (Å): 6.937 6.937 5.540
angles (deg): 51.24 51.24 90.00
Fractional coordinates of all 8 atoms:
Cu 0.500 0.500 0.000
Li 0.615 0.125 0.250
Au 0.000 0.000 0.000
Li 0.375 0.385 0.750
Cu 0.250 0.750 0.500
Li 0.135 0.625 0.250
Li 0.875 0.865 0.750
Au 0.750 0.250 0.500

=====

No. 7
VASP calculation (PBE) on crystalline BeGaNiRh at its relaxed geometry.

Calculated values
**Total magnetic moment**: 0.00 μB/f.u.
**E**: -0.40219 Ry per atom
**E_form**: -0.501 eV per atom

a b c (Å): 4.051 4.051 4.051
angles (deg): 60.00 60.00 60.00
Fractional coordinates of all 4 atoms:
Ni 0.500 0.500 0.500
Rh 0.000 0.000 0.000
Be 0.750 0.750 0.750
Ga 0.250 0.250 0.250

=====

No. 8
VASP calculation (PBE) on crystalline Cd2Ge2Ir at its relaxed geometry.

Calculated values
**Total magnetic moment**: 0.00 μB/f.u.
**E**: -0.26030 Ry per atom
**E_form**: 0.444 eV per atom

a b c (Å): 3.509 3.509 8.602
angles (deg): 78.23 78.23 90.00
Fractional coordinates of all 5 atoms:
Ge 0.750 0.250 0.500
Cd 0.410 0.410 0.179
Ir 0.000 0.000 0.000
Cd 0.590 0.590 0.821
Ge 0.250 0.750 0.500

=====

No. 9
VASP calculation (PBE) on crystalline Rb3HgAu2 at its relaxed geometry.

Calculated values
**Total magnetic moment**: 0.00 μB/f.u.
**E**: -0.13972 Ry per atom
**E_form**: -0.274 eV per atom

a b c (Å): 5.001 14.150 13.827
angles (deg): 90.00 90.00 90.00
Fractional coordinates of all 24 atoms:
Au 0.250 0.683 0.471
Au 0.750 0.183 0.029
Hg 0.250 0.371 0.627
Rb 0.250 0.803 0.700
Au 0.750 0.317 0.529
Rb 0.750 0.878 0.445
Hg 0.750 0.629 0.373
Hg 0.250 0.129 0.127
Rb 0.250 0.122 0.555
Au 0.750 0.983 0.687
Au 0.250 0.817 0.971
Rb 0.750 0.559 0.626
Rb 0.250 0.378 0.055
Rb 0.750 0.197 0.300
Rb 0.250 0.441 0.374
Rb 0.750 0.941 0.126
Au 0.750 0.517 0.187
Au 0.250 0.483 0.813
Hg 0.750 0.871 0.873
Rb 0.750 0.303 0.800
Rb 0.750 0.622 0.945
Rb 0.250 0.059 0.874
Au 0.250 0.017 0.313
Rb 0.250 0.697 0.200

=====

No. 10
VASP calculation (PBE) on crystalline Mn2SiB at its relaxed geometry.

Calculated values
**ΔE_f (raw)**: -0.041 eV/f.u.
**Total magnetic moment**: 1.96 μB/f.u.
**E**: -0.56008 Ry per atom

a b c (Å): 2.723 3.769 3.769
angles (deg): 90.00 90.00 90.00
Site moments in Bohr magnetons follow the coordinates.
Fractional coordinates of all 4 atoms:
Mn 0.000 0.500 0.000  1.01
Mn 0.000 0.000 0.500  1.01
Si 0.500 0.500 0.500  -0.04
B 0.500 0.000 0.000  -0.08

=====

No. 11
VASP calculation (PBE) on crystalline Ac3LaHo3 at its relaxed geometry.

Calculated values
**Total magnetic moment**: 0.00 μB/f.u.
**E**: -0.32079 Ry per atom
**E_form**: 0.062 eV per atom

a b c (Å): 10.098 10.098 6.015
angles (deg): 90.00 90.00 120.00
Fractional coordinates of all 14 atoms:
Ac 0.539 0.907 0.250
La 0.333 0.667 0.750
Ac 0.368 0.461 0.250
Ho 0.044 0.821 0.750
Ho 0.223 0.044 0.250
La 0.667 0.333 0.250
Ac 0.907 0.368 0.750
Ho 0.179 0.223 0.750
Ho 0.821 0.777 0.250
Ac 0.632 0.539 0.750
Ho 0.777 0.956 0.750
Ac 0.093 0.632 0.250
Ho 0.956 0.179 0.250
Ac 0.461 0.093 0.750

=====

No. 12
VASP calculation (PBE) on crystalline Eu2SnS4 at its relaxed geometry.

Calculated values
**ΔE_f (raw)**: -9.900 eV/f.u.
**Total magnetic moment**: 13.71 μB/f.u.
**E**: -0.53509 Ry per atom

a b c (Å): 7.250 8.186 11.570
angles (deg): 90.00 90.00 90.00
Site moments in Bohr magnetons follow the coordinates.
Fractional coordinates of all 28 atoms:
Eu 0.591 0.000 0.818  6.71
S 0.234 0.000 0.947  -0.01
Sn 0.000 0.750 0.000  0.05
Sn 0.500 0.750 0.500  0.05
Eu 0.909 0.000 0.318  6.71
Eu 0.409 0.500 0.182  6.71
S 0.629 0.250 0.294  -0.04
Sn 0.000 0.250 0.000  0.05
Sn 0.500 0.250 0.500  0.05
S 0.734 0.000 0.553  -0.01
S 0.734 0.500 0.553  -0.01
S 0.766 0.500 0.053  -0.01
S 0.629 0.750 0.294  -0.04
S 0.371 0.750 0.706  -0.04
S 0.129 0.750 0.206  -0.04
S 0.266 0.000 0.447  -0.01
S 0.234 0.500 0.947  -0.01
S 0.871 0.250 0.794  -0.04
Eu 0.091 0.000 0.682  6.71
S 0.871 0.750 0.794  -0.04
S 0.129 0.250 0.206  -0.04
Eu 0.909 0.500 0.318  6.71
Eu 0.409 0.000 0.182  6.71
Eu 0.091 0.500 0.682  6.71
Eu 0.591 0.500 0.818  6.71
S 0.766 0.000 0.053  -0.01
S 0.371 0.250 0.706  -0.04
S 0.266 0.500 0.447  -0.01

=====

No. 13
VASP calculation (PBE) on crystalline KInRh at its relaxed geometry.

Calculated values
**Total magnetic moment**: 0.00 μB/f.u.
**E**: -0.24972 Ry per atom
**E_form**: 0.332 eV per atom

a b c (Å): 4.817 4.817 4.817
angles (deg): 60.00 60.00 60.00
Fractional coordinates of all 3 atoms:
In 0.000 0.000 0.000
Rh 0.750 0.750 0.750
K 0.500 0.500 0.500

=====

No. 14
VASP calculation (PBE) on crystalline Th2Si4Pd3Au at its relaxed geometry.

Calculated values
**ΔE_f (raw)**: -8.365 eV/f.u.
**Total magnetic moment**: 0.00 μB/f.u.
**E**: -0.46857 Ry per atom

a b c (Å): 4.306 4.306 9.929
angles (deg): 90.00 90.00 90.00
Fractional coordinates of all 10 atoms:
Si 0.000 0.000 0.000
Si 0.500 0.000 0.638
Th 0.500 0.000 0.244
Pd 0.000 0.000 0.500
Pd 0.000 0.500 0.117
Pd 0.500 0.000 0.883
Si 0.000 0.500 0.362
Au 0.500 0.500 0.500
Th 0.000 0.500 0.756
Si 0.500 0.500 0.000

=====

No. 15
VASP calculation (PBE) on crystalline Pr2Dy5Bi4 at its relaxed geometry.

Calculated values
**Total magnetic moment**: 0.00 μB/f.u.
**E**: -0.34688 Ry per atom
**E_form**: -0.347 eV per atom

a b c (Å): 4.815 7.153 11.849
angles (deg): 107.67 101.72 90.00
Fractional coordinates of all 11 atoms:
Pr 0.720 0.114 0.441
Dy 0.842 0.677 0.683
Bi 0.028 0.306 0.055
Pr 0.280 0.886 0.559
Dy 0.500 0.000 0.000
Bi 0.688 0.623 0.377
Bi 0.972 0.694 0.945
Dy 0.158 0.323 0.317
Bi 0.312 0.377 0.623
Dy 0.889 0.220 0.778
Dy 0.111 0.780 0.222

=====

No. 16
VASP calculation (PBE) on crystalline NdYBeAl at its relaxed geometry.

Calculated values
**Total magnetic moment**: 0.00 μB/f.u.
**E**: -0.35063 Ry per atom
**E_form**: -0.095 eV per atom

a b c (Å): 5.081 5.081 5.081
angles (deg): 60.00 60.00 60.00
Fractional coordinates of all 4 atoms:
Al 0.500 0.500 0.500
Be 0.000 0.000 0.000
Y 0.750 0.750 0.750
Nd 0.250 0.250 0.250

=====

No. 17
VASP calculation (PBE) on crystalline Pm2PuCl at its relaxed geometry.

Calculated values
**ΔE_f (raw)**: -2.372 eV/f.u.
**Total magnetic moment**: 6.12 μB/f.u.
**E**: -0.51544 Ry per atom

a b c (Å): 3.628 3.628 10.268
angles (deg): 79.83 79.83 60.00
Site moments in Bohr magnetons follow the coordinates.
Fractional coordinates of all 4 atoms:
Pm 0.741 0.741 0.776  0.04
Pu 0.500 0.500 0.500  5.51
Pm 0.259 0.259 0.224  0.04
Cl 0.000 0.000 0.000  0.00

=====

No. 18
VASP calculation (PBE) on crystalline Tb2Tm5Pu at its relaxed geometry.

Calculated values
**Total magnetic moment**: 6.60 μB/f.u.
**E**: -0.41049 Ry per atom
**E_form**: 0.159 eV per atom

a b c (Å): 5.488 6.419 15.315
angles (deg): 90.00 90.00 115.31
Site moments in Bohr magnetons follow the coordinates.
Fractional coordinates of all 16 atoms:
Tm 0.620 0.241 0.550  0.02
Tb 0.782 0.564 0.135  0.13
Tm 0.380 0.759 0.050  0.02
Tb 0.782 0.564 0.365  0.13
Tm 0.380 0.759 0.450  0.02
Tm 0.081 0.161 0.408  0.04
Tb 0.218 0.436 0.865  0.13
Pu 0.747 0.494 0.750  5.63
Tb 0.218 0.436 0.635  0.13
Tm 0.919 0.839 0.908  0.04
Pu 0.253 0.506 0.250  5.63
Tm 0.528 0.056 0.250  0.20
Tm 0.919 0.839 0.592  0.04
Tm 0.081 0.161 0.092  0.04
Tm 0.472 0.944 0.750  0.20
Tm 0.620 0.241 0.950  0.02

=====

No. 19
VASP calculation (PBE) on crystalline AcMn2H7 at its relaxed geometry.

Calculated values
**Total magnetic moment**: 4.59 μB/f.u.
**E**: -0.34909 Ry per atom

a b c (Å): 3.690 4.942 5.303
angles (deg): 117.77 90.00 90.00
Site moments in Bohr magnetons follow the coordinates.
Fractional coordinates of all 10 atoms:
H 0.500 0.016 0.692  -0.02
H 0.500 0.675 0.692  -0.02
Mn 0.500 0.317 0.635  2.33
H 0.500 0.984 0.308  -0.02
H 0.000 0.660 0.321  -0.02
H 0.000 0.340 0.679  -0.02
Mn 0.500 0.683 0.365  2.33
H 0.500 0.325 0.308  -0.02
Ac 0.000 0.000 0.000  -0.01
H 0.500 0.500 0.000  -0.02

=====

No. 20
VASP calculation (PBE) on crystalline La2Ga12Pt7 at its relaxed geometry.

Calculated values
**Total magnetic moment**: 0.00 μB/f.u.
**E**: -0.36567 Ry per atom
**E_form**: -0.763 eV per atom

a b c (Å): 4.247 10.101 10.101
angles (deg): 120.00 90.00 90.00
Fractional coordinates of all 21 atoms:
Pt 0.500 0.658 0.571
La 0.000 0.667 0.333
Ga 0.000 0.921 0.193
Pt 0.000 0.698 0.914
Ga 0.500 0.388 0.314
Ga 0.000 0.807 0.728
Pt 0.000 0.216 0.302
Ga 0.000 0.491 0.531
Ga 0.500 0.686 0.074
Ga 0.500 0.926 0.612
Ga 0.000 0.469 0.961
Ga 0.500 0.248 0.795
Ga 0.500 0.205 0.453
Ga 0.000 0.039 0.509
La 0.500 0.000 0.000
Pt 0.000 0.333 0.667
Pt 0.000 0.086 0.784
Ga 0.000 0.272 0.079
Ga 0.500 0.547 0.752
Pt 0.500 0.913 0.342
Pt 0.500 0.429 0.087

=====

No. 21
VASP calculation (PBE) on crystalline NaLa2ReTc at its relaxed geometry.

Calculated values
**Total magnetic moment**: 3.30 μB/f.u.
**E**: -0.41133 Ry per atom
**E_form**: 1.201 eV per atom

a b c (Å): 5.361 5.476 5.361
angles (deg): 90.00 90.00 90.00
Site moments in Bohr magnetons follow the coordinates.
Fractional coordinates of all 5 atoms:
Re 0.000 0.000 0.000  0.26
Na 0.000 0.500 0.000  -0.01
Tc 0.500 0.500 0.500  3.02
La 0.500 0.000 0.000  -0.10
La 0.000 0.000 0.500  -0.07

=====

No. 22
VASP calculation (PBE) on crystalline HoSc5Ni4 at its relaxed geometry.

Calculated values
**Total magnetic moment**: 0.00 μB/f.u.
**E**: -0.46403 Ry per atom
**E_form**: -0.377 eV per atom

a b c (Å): 3.200 3.200 17.780
angles (deg): 90.00 90.00 90.00
Fractional coordinates of all 10 atoms:
Ni 0.000 0.000 0.234
Ho 0.000 0.000 0.000
Sc 0.500 0.500 0.677
Sc 0.500 0.500 0.852
Ni 0.000 0.000 0.589
Sc 0.500 0.500 0.500
Sc 0.500 0.500 0.323
Ni 0.000 0.000 0.411
Ni 0.000 0.000 0.766
Sc 0.500 0.500 0.148